DFT (PBE) results for a geometry-optimized Ni3PdN structure. Values from VASP.

The structure in Quantum ESPRESSO input format:
```
&SYSTEM
  ibrav = 0, nat = 10, ntyp = 3
/
ATOMIC_SPECIES
Ni 58.69 Ni.upf
Pd 106.42 Pd.upf
N 14.01 N.upf
ATOMIC_POSITIONS angstrom
Ni 1.371 0.435 3.340
Ni 1.372 3.088 3.341
Ni 3.562 3.095 0.085
Ni 3.560 0.433 0.082
Ni 1.324 1.764 0.949
Ni 3.516 4.417 2.477
Pd 1.374 4.422 1.045
Pd 3.563 1.761 2.381
N 0.190 4.419 3.951
N 2.379 1.761 4.224
CELL_PARAMETERS angstrom
4.380 -0.001 0.000
0.002 5.315 0.003
0.000 -0.004 4.748
```

Values from the calculation:
energy relative to the elements, uncorrected = 0.071 eV per atom
calculated total energy = -0.22424 Ha/atom
magnetization = 0.00 μB per atom
density of states at the Fermi level = 3.981 states/eV/f.u.